This record from Alexandria via LeMat-Bulk describes a relaxed structure of MnAg2Sb. The functional is GGA-PBE.

D(E_F): 0.34 states/eV/atom
space-group type: P2/m (10)
calculated volume: 77.4 Å³/cell
calculated density: 8.42 Mg/m³
total magnetic moment: 3.95 μB/cell
formation energy from raw total energies: 0.208 eV per atom
uncorrected energy: -4.541 eV per atom

a b c (Å): 3.0999 5.0997 4.8985
angles (deg): 90.00 90.19 90.00
Element x y z (fractional)
Mn (0.0000, 0.0000, 0.0000)
Ag (0.2601, 0.5000, 0.7602)
Ag (0.7399, 0.5000, 0.2398)
Sb (0.5000, 0.0000, 0.5000)

=====

This record from Alexandria via LeMat-Bulk describes a relaxed structure of Cs2UTe2Se6. The functional is GGA-PBE.

D(E_F): 0.11 states/eV/atom
space-group type: C2/m (12)
calculated volume: 444.8 Å³/cell
calculated density: 4.60 Mg/m³
total magnetic moment: 0.05 μB/cell
formation energy from raw total energies: -0.691 eV per atom
uncorrected energy: -4.344 eV per atom

a b c (Å): 8.4949 8.4949 9.2089
angles (deg): 118.25 118.25 51.92
Element x y z (fractional)
Cs (0.2074, 0.2074, 0.2020)
Cs (0.7926, 0.7926, 0.7980)
U (0.0000, 0.0000, 0.5000)
Te (0.4374, 0.4374, 0.6938)
Te (0.5626, 0.5626, 0.3062)
Se (0.1762, 0.6869, 0.2284)
Se (0.1915, 0.1915, 0.5910)
Se (0.3131, 0.8238, 0.7716)
Se (0.6869, 0.1762, 0.2284)
Se (0.8085, 0.8085, 0.4090)
Se (0.8238, 0.3131, 0.7716)

=====

This record from Alexandria via LeMat-Bulk describes a relaxed structure of Nd2ErSc. The functional is GGA-PBE.

D(E_F): 1.56 states/eV/atom
space-group type: Fm-3m (225)
calculated volume: 125.3 Å³/cell
calculated density: 6.63 Mg/m³
total magnetic moment: 0.00 μB/cell
formation energy: 0.0938 eV/atom
uncorrected energy: -5.014 eV per atom

a b c (Å): 5.6175 5.6175 5.6175
angles (deg): 60.00 60.00 60.00
Element x y z (fractional)
Nd (0.2500, 0.2500, 0.2500)
Nd (0.7500, 0.7500, 0.7500)
Er (0.0000, 0.0000, 0.0000)
Sc (0.5000, 0.5000, 0.5000)

=====

This record from Alexandria via LeMat-Bulk describes a relaxed structure of Ho2NiPb. The functional is GGA-PBE.

D(E_F): 1.06 states/eV/atom
space-group type: R-3m (166)
calculated volume: 117.8 Å³/cell
calculated density: 8.40 Mg/m³
total magnetic moment: 0.00 μB/cell
formation energy: -0.1155 eV/atom
uncorrected energy: -4.777 eV per atom

a b c (Å): 9.6470 9.6470 9.6470
angles (deg): 22.75 22.75 22.75
Element x y z (fractional)
Ho (0.1133, 0.1133, 0.1133)
Ho (0.8867, 0.8867, 0.8867)
Ni (0.5000, 0.5000, 0.5000)
Pb (0.0000, 0.0000, 0.0000)

=====

What is the total magnetic moment in the first record? 3.95 μB/cell